Y2TmTh | GGA-PBE | optimized geometry

abc: 4.1563 4.1563 7.4173
angles: 90.00 90.00 90.00
Fractional coordinates of all 4 atoms:
Y  0.0000  0.0000  0.2483
Y  0.0000  0.0000  0.7517
Tm  0.5000  0.5000  0.5000
Th  0.5000  0.5000  0.0000

Output
* V: 128.1 Å³/f.u.
* distance to the lowest polymorph of the same formula: 0.135 eV per atom
* energy of formation: 134 meV/atom
* M_tot: 0.0 μB per cell
* space group: P4/mmm

---

CrCdCu | GGA-PBE | optimized geometry

abc: 4.4797 4.4797 2.8718
angles: 90.00 90.00 120.00
Fractional coordinates of all 3 atoms:
Cr  0.0000  0.0000  0.0000
Cd  0.3333  0.6667  0.5555
Cu  0.6667  0.3333  0.3636

Output
* V: 49.9 Å³/f.u.
* distance to the lowest polymorph of the same formula: 0.085 eV per atom
* energy of formation: 418 meV/atom
* M_tot: 4.0 μB per cell
* space group: P3m1

---

Al2FeMo | GGA-PBE | optimized geometry

abc: 4.9188 4.9188 4.9188
angles: 135.82 135.82 64.26
Fractional coordinates of all 4 atoms:
Al  0.0000  0.0000  0.0000
Al  0.7500  0.2500  0.5000
Fe  0.2500  0.7500  0.5000
Mo  0.5000  0.5000  0.0000

Output
* V: 57.0 Å³/f.u.
* distance to the lowest polymorph of the same formula: 0.099 eV per atom
* energy of formation: -128 meV/atom
* M_tot: 2.6 μB per cell
* space group: I-4m2

---

Cs3Tl8Cd3 | GGA-PBE | optimized geometry

abc: 10.3045 10.3045 10.3045
angles: 150.73 101.57 85.82
Fractional coordinates of all 14 atoms:
Cs  0.0000  0.0000  0.0000
Cs  0.2844  0.2844  0.0000
Cs  0.7156  0.7156  0.0000
Tl  0.0004  0.3324  0.6680
Tl  0.9996  0.6676  0.3320
Tl  0.1774  0.8819  0.2954
Tl  0.3356  0.6676  0.6680
Tl  0.4135  0.1181  0.2954
Tl  0.5865  0.8819  0.7046
Tl  0.6644  0.3324  0.3320
Tl  0.8226  0.1181  0.7046
Cd  0.3429  0.5000  0.8429
Cd  0.5000  0.0000  0.5000
Cd  0.6571  0.5000  0.1571

Output
* V: 512.1 Å³/f.u.
* energy of formation: -36 meV/atom
* M_tot: 0.0 μB per cell
* space group: Immm

---

Copy entry 4 word for word.
Cs3Tl8Cd3 | GGA-PBE | optimized geometry

abc: 10.3045 10.3045 10.3045
angles: 150.73 101.57 85.82
Fractional coordinates of all 14 atoms:
Cs  0.0000  0.0000  0.0000
Cs  0.2844  0.2844  0.0000
Cs  0.7156  0.7156  0.0000
Tl  0.0004  0.3324  0.6680
Tl  0.9996  0.6676  0.3320
Tl  0.1774  0.8819  0.2954
Tl  0.3356  0.6676  0.6680
Tl  0.4135  0.1181  0.2954
Tl  0.5865  0.8819  0.7046
Tl  0.6644  0.3324  0.3320
Tl  0.8226  0.1181  0.7046
Cd  0.3429  0.5000  0.8429
Cd  0.5000  0.0000  0.5000
Cd  0.6571  0.5000  0.1571

Output
* V: 512.1 Å³/f.u.
* energy of formation: -36 meV/atom
* M_tot: 0.0 μB per cell
* space group: Immm

---

Repeat the third record exactly.
Al2FeMo | GGA-PBE | optimized geometry

abc: 4.9188 4.9188 4.9188
angles: 135.82 135.82 64.26
Fractional coordinates of all 4 atoms:
Al  0.0000  0.0000  0.0000
Al  0.7500  0.2500  0.5000
Fe  0.2500  0.7500  0.5000
Mo  0.5000  0.5000  0.0000

Output
* V: 57.0 Å³/f.u.
* distance to the lowest polymorph of the same formula: 0.099 eV per atom
* energy of formation: -128 meV/atom
* M_tot: 2.6 μB per cell
* space group: I-4m2